Record 1
! Th2CI, optimized geometry, DFT PBE; values from VASP
! * SG: R3m
! * total magnetization: 0.4 μB/f.u.
! * energy relative to the elements, uncorrected: -0.597 eV/atom
! * density of states at the Fermi level: 0.88 states/eV per atom
&SYSTEM
  ibrav = 0, nat = 4, ntyp = 3
/
ATOMIC_SPECIES
C 12.01 C.upf
Th 232.04 Th.upf
I 126.90 I.upf
CELL_PARAMETERS angstrom
-0.8603 2.4675 2.7215
-0.4120 -1.1840 3.5586
7.5142 1.7109 3.4394
ATOMIC_POSITIONS angstrom
C -0.8261 0.8592 4.1904
Th 0.9497 0.6499 2.3263
Th 6.1033 1.4829 3.2002
I 3.1359 1.4996 4.8623

=====

Record 2
! Ta2V4Co, optimized geometry, DFT PBE; values from VASP
! * SG: I4/mmm
! * total magnetization: 0.0 μB/f.u.
! * DFT formation energy: 0.89 eV per atom
! * density of states at the Fermi level: 1.22 states/eV per atom
&SYSTEM
  ibrav = 0, nat = 7, ntyp = 3
/
ATOMIC_SPECIES
V 50.94 V.upf
Ta 180.95 Ta.upf
Co 58.93 Co.upf
CELL_PARAMETERS angstrom
-2.9492 -3.0365 0.2941
2.8632 -2.6138 1.7248
-1.6631 -0.6756 6.9563
ATOMIC_POSITIONS angstrom
V -0.6560 -4.8941 4.1112
V 1.4316 -1.3069 0.8624
V -1.0931 -1.4319 4.8641
V -1.4746 -1.5183 0.1471
Ta -0.4590 -2.2733 2.5364
Ta -1.2901 -4.0527 6.4389
Co 0.0000 0.0000 0.0000

=====

Record 3
! Tb6NdY, optimized geometry, DFT PBE; values from VASP
! * SG: P4/mmm
! * total magnetization: 0.0 μB/f.u.
! * DFT formation energy: 0.01 eV per atom
! * offset from the most stable computed form: 0 meV/atom
! * density of states at the Fermi level: 1.21 states/eV per atom
&SYSTEM
  ibrav = 0, nat = 8, ntyp = 3
/
ATOMIC_SPECIES
Tb 158.93 Tb.upf
Y 88.91 Y.upf
Nd 144.24 Nd.upf
CELL_PARAMETERS angstrom
5.0516 0.0000 0.0000
0.0000 7.1170 -0.8004
0.0000 0.8023 7.1168
ATOMIC_POSITIONS angstrom
Tb 0.0000 1.9870 1.5848
Tb 2.5258 3.5585 -0.4002
Tb 0.0000 5.5332 1.1853
Tb 0.0000 5.9323 4.7316
Tb 2.5258 0.4012 3.5584
Tb 0.0000 2.3861 5.1311
Y 2.5258 3.9597 3.1582
Nd 2.5258 0.0000 0.0000

=====

Record 4
! DyPd5Au, optimized geometry, DFT PBE; values from VASP
! * SG: P4/mmm
! * total magnetization: 0.0 μB/f.u.
! * DFT formation energy: -0.33 eV per atom
! * offset from the most stable computed form: 0 meV/atom
! * density of states at the Fermi level: 0.53 states/eV per atom
&SYSTEM
  ibrav = 0, nat = 7, ntyp = 3
/
ATOMIC_SPECIES
Dy 162.50 Dy.upf
Au 196.97 Au.upf
Pd 106.42 Pd.upf
CELL_PARAMETERS angstrom
-1.0392 3.9603 0.4258
-3.2754 -1.1001 2.2376
4.2286 0.4218 6.3974
ATOMIC_POSITIONS angstrom
Dy 0.0000 0.0000 0.0000
Au 2.1143 0.2109 3.1987
Pd -2.1573 1.4301 1.3317
Pd 0.5998 2.0918 1.9064
Pd 2.5896 2.2903 4.9167
Pd 1.4715 -0.2399 5.8226
Pd -0.5183 -0.4384 2.8123

=====

Record 5
! AgHg2N, optimized geometry, DFT PBE; values from VASP
! * SG: I-42d
! * total magnetization: 0.0 μB/f.u.
! * energy relative to the elements, uncorrected: 0.880 eV/atom
! * density of states at the Fermi level: 0.24 states/eV per atom
&SYSTEM
  ibrav = 0, nat = 8, ntyp = 3
/
ATOMIC_SPECIES
N 14.01 N.upf
Hg 200.59 Hg.upf
Ag 107.87 Ag.upf
CELL_PARAMETERS angstrom
5.9940 0.0000 0.0000
0.0000 5.9940 0.0000
2.9970 2.9970 5.3609
ATOMIC_POSITIONS angstrom
N 2.9970 5.9940 2.6804
N 2.9970 2.9970 0.0000
Hg 4.4955 5.1093 4.0206
Hg 3.8816 1.4985 1.3402
Hg 2.1124 4.4955 1.3402
Hg 7.4925 6.8786 4.0206
Ag 5.9940 2.9970 2.6804
Ag 0.0000 0.0000 0.0000

=====

Record 6
! Ta3VFe, optimized geometry, DFT PBE; values from VASP
! * SG: Pm-3m
! * total magnetization: 2.6 μB/f.u.
! * DFT formation energy: 0.88 eV per atom
! * offset from the most stable computed form: 0 meV/atom
! * density of states at the Fermi level: 1.22 states/eV per atom
&SYSTEM
  ibrav = 0, nat = 5, ntyp = 3
/
ATOMIC_SPECIES
Ta 180.95 Ta.upf
Fe 55.84 Fe.upf
V 50.94 V.upf
CELL_PARAMETERS angstrom
4.5712 0.0000 0.0000
0.0000 4.5712 0.0000
0.0000 0.0000 4.5712
ATOMIC_POSITIONS angstrom
Ta 0.0000 0.0000 2.2856
Ta 2.2856 0.0000 0.0000
Ta 0.0000 2.2856 0.0000
Fe 0.0000 0.0000 0.0000
V 2.2856 2.2856 2.2856

=====

Record 7
! LaSmDy2Sc, optimized geometry, DFT PBE; values from VASP
! * SG: P2_1/m
! * total magnetization: 0.0 μB/f.u.
! * DFT formation energy: 0.05 eV per atom
! * density of states at the Fermi level: 1.77 states/eV per atom
&SYSTEM
  ibrav = 0, nat = 10, ntyp = 4
/
ATOMIC_SPECIES
La 138.91 La.upf
Dy 162.50 Dy.upf
Sc 44.96 Sc.upf
Sm 150.36 Sm.upf
CELL_PARAMETERS angstrom
-1.3165 -2.0723 4.4146
7.3991 -2.5041 1.0310
1.8377 6.7572 3.7200
ATOMIC_POSITIONS angstrom
La 5.6476 -0.6206 2.8379
La 2.2727 2.8013 6.3278
Dy 2.3640 -1.0864 1.6400
Dy 5.5563 3.2672 7.5256
Dy 6.2391 0.0838 6.2349
Dy 1.6813 2.0969 2.9307
Sc 2.9883 -0.3290 5.0717
Sc 4.9321 2.5098 4.0939
Sm -0.2990 -0.6590 3.9365
Sm 8.2194 2.8398 5.2291

=====

Record 8
! Cs2MnTlSe4, optimized geometry, DFT PBE; values from VASP
! * SG: Fddd
! * total magnetization: 2.0 μB/f.u.
! * energy relative to the elements, uncorrected: -0.686 eV/atom
! * density of states at the Fermi level: 0.16 states/eV per atom
&SYSTEM
  ibrav = 0, nat = 16, ntyp = 4
/
ATOMIC_SPECIES
Cs 132.91 Cs.upf
Se 78.96 Se.upf
Tl 204.38 Tl.upf
Mn 54.94 Mn.upf
CELL_PARAMETERS angstrom
7.3994 0.0000 0.0000
3.6997 6.7368 0.0000
3.6997 0.0000 12.4010
ATOMIC_POSITIONS angstrom
Cs 7.3994 0.0000 4.4544
Cs 3.6997 0.0000 7.9466
Cs 9.2492 3.3684 1.7461
Cs 9.2492 3.3684 10.6549
Se 5.9497 1.2147 11.1077
Se 4.0999 2.1537 4.9072
Se 6.9992 2.1537 7.4938
Se 5.9497 5.5221 1.2933
Se 12.5487 5.5221 11.1077
Se 11.4993 4.5831 7.4938
Se 5.1493 1.2147 1.2933
Se 6.9992 4.5831 4.9072
Tl 9.2492 3.3684 6.2005
Tl 0.0000 0.0000 0.0000
Mn 5.5495 3.3684 6.2005
Mn 3.6997 0.0000 0.0000

=====

Record 9
! BaZrFe, optimized geometry, DFT PBE; values from VASP
! * SG: P3m1
! * total magnetization: 0.0 μB/f.u.
! * DFT formation energy: 0.62 eV per atom
! * offset from the most stable computed form: 190 meV/atom
! * density of states at the Fermi level: 0.70 states/eV per atom
&SYSTEM
  ibrav = 0, nat = 3, ntyp = 3
/
ATOMIC_SPECIES
Zr 91.22 Zr.upf
Fe 55.84 Fe.upf
Ba 137.33 Ba.upf
CELL_PARAMETERS angstrom
-1.1552 0.0327 3.6117
-0.2460 -3.1868 -2.0406
6.1208 -1.7362 1.9735
ATOMIC_POSITIONS angstrom
Zr 2.5779 -2.0134 2.8335
Fe 1.7695 -2.7713 0.5911
Ba 0.3722 -0.1056 0.1200

=====

Record 10
! TlPtRh, optimized geometry, DFT PBE; values from VASP
! * SG: F-43m
! * total magnetization: 0.0 μB/f.u.
! * DFT formation energy: 0.24 eV per atom
! * offset from the most stable computed form: 144 meV/atom
! * density of states at the Fermi level: 1.45 states/eV per atom
&SYSTEM
  ibrav = 0, nat = 3, ntyp = 3
/
ATOMIC_SPECIES
Rh 102.91 Rh.upf
Pt 195.08 Pt.upf
Tl 204.38 Tl.upf
CELL_PARAMETERS angstrom
-2.0951 -1.1521 3.7238
-2.2146 3.0449 2.3256
-4.4230 -0.0880 0.1138
ATOMIC_POSITIONS angstrom
Rh -6.5495 1.3536 4.6224
Pt -4.3664 0.9024 3.0816
Tl 0.0000 0.0000 0.0000

=====

Record 11
! Mg2BeAl2Pd5, optimized geometry, DFT PBE; values from VASP
! * SG: P4/mbm
! * total magnetization: 0.0 μB/f.u.
! * DFT formation energy: -0.63 eV per atom
! * density of states at the Fermi level: 0.29 states/eV per atom
&SYSTEM
  ibrav = 0, nat = 20, ntyp = 4
/
ATOMIC_SPECIES
Mg 24.30 Mg.upf
Pd 106.42 Pd.upf
Al 26.98 Al.upf
Be 9.01 Be.upf
CELL_PARAMETERS angstrom
2.9378 0.0000 0.0000
0.0000 10.2270 0.0000
0.0000 0.0000 10.2270
ATOMIC_POSITIONS angstrom
Mg 0.0000 8.5288 6.8117
Mg 0.0000 3.4153 8.5288
Mg 0.0000 1.6982 3.4153
Mg 0.0000 6.8117 1.6982
Pd 1.4689 0.0000 5.1135
Pd 1.4689 9.9229 1.9829
Pd 1.4689 4.8094 3.1306
Pd 1.4689 8.2441 9.9229
Pd 1.4689 5.4176 7.0964
Pd 1.4689 0.3041 8.2441
Pd 1.4689 3.1306 5.4176
Pd 1.4689 5.1135 0.0000
Pd 1.4689 1.9829 0.3041
Pd 1.4689 7.0964 4.8094
Al 0.0000 3.6715 1.4420
Al 0.0000 8.7850 3.6715
Al 0.0000 6.5555 8.7850
Al 0.0000 1.4420 6.5555
Be 0.0000 0.0000 0.0000
Be 0.0000 5.1135 5.1135

=====

Record 12
! CeNdDy2As4, optimized geometry, DFT PBE; values from VASP
! * SG: P2/m
! * total magnetization: 0.6 μB/f.u.
! * DFT formation energy: -1.50 eV per atom
! * density of states at the Fermi level: 0.78 states/eV per atom
&SYSTEM
  ibrav = 0, nat = 8, ntyp = 4
/
ATOMIC_SPECIES
As 74.92 As.upf
Ce 140.12 Ce.upf
Dy 162.50 Dy.upf
Nd 144.24 Nd.upf
CELL_PARAMETERS angstrom
4.1833 0.0000 0.0000
0.0000 7.2304 -0.1419
0.0000 2.5451 6.7847
ATOMIC_POSITIONS angstrom
As 2.0917 3.6730 5.0494
As 2.0917 6.1025 1.5933
As 0.0001 7.3676 4.9422
As 4.1833 2.4079 1.7005
Ce 0.0000 4.8877 3.3214
Dy 0.0000 2.5451 6.7847
Dy 2.0917 1.2725 3.3923
Nd 2.0917 3.6152 -0.0710